Entry 1:
MgMo2Au | the Alexandria database | GGA-PBE | relaxed; space group = C2/m (12); E_form = 204 meV/atom; N(E_F) = 2.191 states/eV per cell; total magnetic moment = 0.0 Bohr magnetons per cell
1.0
-5.466 -0.857 0.038
3.038 -4.443 0.111
-0.785 -0.742 2.496
Au Mg Mo
1 1 2
Direct
0.000 0.500 0.500
0.500 0.500 0.000
0.000 0.000 0.000
0.500 0.000 0.500

=====

Entry 2:
MgMoAu | the Alexandria database | GGA-PBE | relaxed; distance to the lowest polymorph of the same formula = 0 meV per atom; space group = I4mm (107); E_form = 76 meV/atom; N(E_F) = 2.242 states/eV per cell; total magnetic moment = 0.0 Bohr magnetons per cell
1.0
-2.534 1.265 6.234
-0.641 -2.192 6.455
3.252 1.406 -5.859
Au Mg Mo
1 1 1
Direct
0.000 0.000 0.000
0.665 0.665 0.000
0.335 0.335 0.000

=====

Entry 3:
MgMo2Au | the Alexandria database | GGA-PBE | relaxed; space group = Cmm2 (35); E_form = 81 meV/atom; N(E_F) = 2.948 states/eV per cell; total magnetic moment = 0.0 Bohr magnetons per cell
1.0
-2.776 0.226 -0.063
0.762 -0.274 2.666
0.721 9.072 0.728
Au Mg Mo
1 1 2
Direct
0.000 0.000 0.501
0.500 0.500 0.750
0.000 0.000 0.009
0.500 0.500 0.240

=====

Which formula does entry 3 have?
MgMo2Au

=====

total magnetic moment of number 2 (MgMoAu)?
0.0 Bohr magnetons per cell